i) Here is TaAl2Ag after structural relaxation from Alexandria via LeMat-Bulk. Energies are from GGA-PBE.

abc: 3.1482 3.1482 6.7223
angles: 90.00 90.00 90.00
Last column: nearest neighbours and their distance in Å.
Atoms (fractional coordinates):
Ta (0.0000, 0.0000, 0.0000)  4 Al 2.77, 4 Ag 2.98
Al (0.0000, 0.0000, 0.5127)  4 Ag 2.66, 4 Al 2.75
Al (0.5000, 0.5000, 0.7537)  4 Al 2.75, 4 Ta 2.77, 1 Ag 3.08
Ag (0.5000, 0.5000, 0.2950)  4 Al 2.66, 4 Ta 2.98

Results
- space group = P4mm, No. 99

=====

ii) Here is TaAl2Ag after structural relaxation from Alexandria via LeMat-Bulk. Energies are from GGA-PBE.

abc: 5.2975 5.2975 4.8668
angles: 108.35 108.35 31.58
Last column: nearest neighbours and their distance in Å.
Atoms (fractional coordinates):
Ta (0.0000, 0.0000, 0.0000)  7 Al 2.79-2.86, 2 Ta 2.88, 2 Ag 3.09
Al (0.4873, 0.4873, 0.4848)  3 Ag 2.79-2.82, 4 Ta 2.80-2.86, 4 Al 2.88-2.92
Al (0.7462, 0.7462, 0.1070)  3 Ta 2.79-2.80, 4 Ag 2.82-2.84, 4 Al 2.88-2.92
Ag (0.2376, 0.2376, 0.6038)  7 Al 2.79-2.84, 2 Ag 2.88, 2 Ta 3.09

Results
- space group = Cm, No. 8

=====

Of them, i) has the lowest stability.

=====

i) Here is Ca2RhBr after structural relaxation from Alexandria via LeMat-Bulk. Energies are from GGA-PBE.

abc: 6.7600 6.7600 6.7600
angles: 113.63 113.63 101.45
Last column: nearest neighbours and their distance in Å.
Atoms (fractional coordinates):
Ca (0.0934, 0.6250, 0.9684)  2 Rh 2.68, 2 Br 2.98
Ca (0.3750, 0.3434, 0.4684)  2 Rh 2.68, 2 Br 2.98
Ca (0.6566, 0.1250, 0.0316)  2 Rh 2.68, 2 Br 2.98
Ca (0.8750, 0.9066, 0.5316)  2 Rh 2.68, 2 Br 2.98
Rh (0.0000, 0.0000, 0.0000)  4 Ca 2.68
Rh (0.7500, 0.2500, 0.5000)  4 Ca 2.68
Br (0.2500, 0.7500, 0.5000)  4 Ca 2.98
Br (0.5000, 0.5000, 0.0000)  4 Ca 2.98

Results
- space group = I-42d, No. 122

=====

ii) Here is Ca2RhBr after structural relaxation from Alexandria via LeMat-Bulk. Energies are from GGA-PBE.

abc: 7.7610 7.7610 7.7610
angles: 30.49 30.49 30.49
Last column: nearest neighbours and their distance in Å.
Atoms (fractional coordinates):
Ca (0.2361, 0.2361, 0.2361)  3 Rh 2.82
Ca (0.7639, 0.7639, 0.7639)  3 Rh 2.82
Rh (0.5000, 0.5000, 0.5000)  6 Ca 2.82
Br (0.0000, 0.0000, 0.0000)  6 Ca 3.19

Results
- space group = R-3m, No. 166

=====

Of them, i) has the lowest stability.